Record 1
An optimized crystal structure of RbCdI2N, computed with PBE.

Properties
**ΔE to the lowest computed polymorph**: 797 meV/atom
**SG**: P4/mmm, No. 123
**Magnetic moment**: 3.04 μB/cell
**Formation energy from raw total energies**: 0.754 eV per atom
**DFT total energy**: -1.908 eV per atom

a b c (Å): 6.891 6.891 5.557
angles (deg): 90.00 90.00 90.00
Fractional positions:
Rb 0.000 0.000 0.000
Cd 0.500 0.500 0.500
I 0.000 0.500 0.000
I 0.500 0.000 0.000
N 0.000 0.000 0.500


Record 2
An optimized crystal structure of RbCdIN2, computed with PBE.

Properties
**ΔE to the lowest computed polymorph**: 0 meV/atom
**SG**: P4/mmm, No. 123
**Magnetic moment**: 4.00 μB/cell
**Formation energy from raw total energies**: 0.997 eV per atom
**DFT total energy**: -3.019 eV per atom

a b c (Å): 4.802 4.802 6.337
angles (deg): 90.00 90.00 90.00
Fractional positions:
Rb 0.000 0.000 0.000
Cd 0.500 0.500 0.500
I 0.500 0.500 0.000
N 0.000 0.500 0.500
N 0.500 0.000 0.500


Record 3
An optimized crystal structure of RbCdIN2, computed with PBE.

Properties
**ΔE to the lowest computed polymorph**: 684 meV/atom
**SG**: P4/mmm, No. 123
**Magnetic moment**: 5.25 μB/cell
**Formation energy from raw total energies**: 1.682 eV per atom
**DFT total energy**: -2.335 eV per atom

a b c (Å): 5.569 5.569 7.305
angles (deg): 90.00 90.00 90.00
Fractional positions:
Rb 0.000 0.000 0.000
Cd 0.500 0.500 0.500
I 0.000 0.000 0.500
N 0.000 0.500 0.000
N 0.500 0.000 0.000


Record 4
An optimized crystal structure of RbCdI2N, computed with PBE.

Properties
**ΔE to the lowest computed polymorph**: 0 meV/atom
**SG**: P4/mmm, No. 123
**Magnetic moment**: 2.00 μB/cell
**Formation energy from raw total energies**: -0.043 eV per atom
**DFT total energy**: -2.705 eV per atom

a b c (Å): 6.292 6.292 4.451
angles (deg): 90.00 90.00 90.00
Fractional positions:
Rb 0.000 0.000 0.000
Cd 0.500 0.500 0.500
I 0.000 0.500 0.500
I 0.500 0.000 0.500
N 0.500 0.500 0.000